[1]
La3Tm3AgTe8: relaxed, GGA-PBE.

N(E_F) ... 4.80 states/eV/f.u.
Formation energy from raw total energies ... -1274 meV/atom
SG ... No. 166
M_tot ... 0.00 μB per formula unit

abc: 8.833 8.833 8.855
angles: 119.92 90.00 120.00
Atoms (fractional coordinates):
Tm  0.000  0.500  0.500
Tm  0.500  0.000  0.500
Tm  0.500  0.500  0.500
Te  0.749  0.498  0.262
Te  0.251  0.987  0.738
Te  0.264  0.013  0.262
Te  0.257  0.513  0.270
Te  0.749  0.013  0.262
Te  0.743  0.487  0.730
Te  0.251  0.502  0.738
Te  0.736  0.987  0.738
Ag  0.000  0.000  0.500
La  0.000  0.500  0.000
La  0.500  0.500  0.000
La  0.000  0.000  0.000

***

[2]
CaNd2Ho4: relaxed, GGA-PBE.

N(E_F) ... 13.74 states/eV/f.u.
Formation enthalpy at 0 K ... 161 kJ/mol of formula units
SG ... No. 139
M_tot ... 0.01 μB per formula unit

abc: 6.897 6.897 6.897
angles: 122.61 103.32 103.33
Atoms (fractional coordinates):
Ho  0.396  0.698  0.698
Ho  0.000  0.302  0.698
Ho  0.604  0.302  0.302
Ho  0.000  0.698  0.302
Nd  0.500  0.250  0.750
Nd  0.500  0.750  0.250
Ca  0.000  0.000  0.000

***

[3]
SrLiTl2Pb: relaxed, GGA-PBE.

N(E_F) ... 2.19 states/eV/f.u.
Energy above the lowest structure with this stoichiometry ... 0 meV/atom
Formation enthalpy at 0 K ... -122 kJ/mol of formula units
SG ... No. 51
M_tot ... 0.00 μB per formula unit

abc: 6.879 6.367 6.683
angles: 90.00 90.00 90.00
Atoms (fractional coordinates):
Tl  0.743  0.250  0.254
Tl  0.257  0.750  0.254
Tl  0.743  0.250  0.746
Tl  0.257  0.750  0.746
Li  0.000  0.000  0.000
Li  0.000  0.500  0.000
Sr  0.227  0.250  0.500
Sr  0.773  0.750  0.500
Pb  0.355  0.250  0.000
Pb  0.645  0.750  0.000

***

[4]
NaSr3Ca2: relaxed, GGA-PBE.

N(E_F) ... 5.41 states/eV/f.u.
Energy above the lowest structure with this stoichiometry ... 0 meV/atom
Formation enthalpy at 0 K ... 10 kJ/mol of formula units
SG ... No. 123
M_tot ... 0.00 μB per formula unit

abc: 4.506 4.506 13.944
angles: 90.00 90.00 90.00
Atoms (fractional coordinates):
Na  0.500  0.500  0.500
Sr  0.000  0.000  0.000
Sr  0.000  0.000  0.339
Sr  0.000  0.000  0.661
Ca  0.500  0.500  0.165
Ca  0.500  0.500  0.835

***

[5]
FeMo3Se: relaxed, GGA-PBE.

N(E_F) ... 12.72 states/eV/f.u.
Energy above the lowest structure with this stoichiometry ... 387 meV/atom
Formation energy from raw total energies ... 1590 meV/atom
SG ... No. 221
M_tot ... 0.00 μB per formula unit

abc: 4.544 4.544 4.544
angles: 90.00 90.00 90.00
Atoms (fractional coordinates):
Se  0.000  0.000  0.000
Mo  0.500  0.000  0.000
Mo  0.000  0.000  0.500
Mo  0.000  0.500  0.000
Fe  0.500  0.500  0.500

***

[6]
GaHPd3: relaxed, GGA-PBE.

N(E_F) ... 1.40 states/eV/f.u.
Energy above the lowest structure with this stoichiometry ... 78 meV/atom
SG ... No. 11
M_tot ... 0.00 μB per formula unit

abc: 4.730 5.639 5.018
angles: 90.00 107.02 90.00
Atoms (fractional coordinates):
H  0.011  0.250  0.428
H  0.989  0.750  0.572
Pd  0.336  0.250  0.316
Pd  0.664  0.750  0.684
Pd  0.800  0.993  0.214
Pd  0.800  0.507  0.214
Pd  0.200  0.493  0.786
Pd  0.200  0.007  0.786
Ga  0.708  0.250  0.783
Ga  0.292  0.750  0.217

***

[7]
PmBePt: relaxed, GGA-PBE.

N(E_F) ... 1.86 states/eV/f.u.
Energy above the lowest structure with this stoichiometry ... 31 meV/atom
Formation enthalpy at 0 K ... -220 kJ/mol of formula units
SG ... No. 62
M_tot ... 0.00 μB per formula unit

abc: 4.057 8.045 6.918
angles: 90.00 90.00 90.00
Atoms (fractional coordinates):
Pm  0.250  0.805  0.497
Pm  0.750  0.305  0.003
Pm  0.250  0.695  0.997
Pm  0.750  0.195  0.503
Pt  0.250  0.072  0.810
Pt  0.750  0.572  0.690
Pt  0.750  0.928  0.190
Pt  0.250  0.428  0.310
Be  0.750  0.569  0.336
Be  0.250  0.069  0.164
Be  0.250  0.431  0.664
Be  0.750  0.931  0.836

***

[8]
AcGeSb: relaxed, GGA-PBE.

N(E_F) ... 2.26 states/eV/f.u.
Energy above the lowest structure with this stoichiometry ... 396 meV/atom
Formation energy from raw total energies ... -361 meV/atom
SG ... No. 216
M_tot ... 0.00 μB per formula unit

abc: 5.169 5.169 5.169
angles: 60.00 60.00 60.00
Atoms (fractional coordinates):
Ge  0.250  0.250  0.250
Ac  0.500  0.500  0.500
Sb  0.000  0.000  0.000

***

[9]
LiHfPd: relaxed, GGA-PBE.

N(E_F) ... 1.47 states/eV/f.u.
Energy above the lowest structure with this stoichiometry ... 178 meV/atom
Formation enthalpy at 0 K ... -96 kJ/mol of formula units
SG ... No. 107
M_tot ... 0.00 μB per formula unit

abc: 3.433 3.433 4.943
angles: 110.32 110.32 90.00
Atoms (fractional coordinates):
Hf  0.293  0.293  0.586
Li  0.607  0.607  0.214
Pd  0.950  0.950  0.900

***

[10]
ZrGe2F: relaxed, GGA-PBE.

N(E_F) ... 2.74 states/eV/f.u.
Energy above the lowest structure with this stoichiometry ... 0 meV/atom
Formation energy from raw total energies ... -690 meV/atom
SG ... No. 122
M_tot ... 0.00 μB per formula unit

abc: 3.616 3.616 10.820
angles: 80.38 80.38 90.00
Atoms (fractional coordinates):
Ge  0.375  0.370  0.750
Ge  0.120  0.625  0.250
Ge  0.630  0.125  0.250
Ge  0.875  0.880  0.750
F  0.500  0.500  0.000
F  0.250  0.750  0.500
Zr  0.000  0.000  0.000
Zr  0.750  0.250  0.500

***

[11]
CrReNi2: relaxed, GGA-PBE.

N(E_F) ... 5.07 states/eV/f.u.
Energy above the lowest structure with this stoichiometry ... 139 meV/atom
Formation enthalpy at 0 K ... 56 kJ/mol of formula units
SG ... No. 216
M_tot ... 0.63 μB per formula unit

abc: 4.105 4.105 4.105
angles: 60.00 60.00 60.00
Atoms (fractional coordinates):
Ni  0.000  0.000  0.000
Ni  0.250  0.250  0.250
Cr  0.500  0.500  0.500
Re  0.750  0.750  0.750

***

[12]
Yb10Ni28As19: relaxed, GGA-PBE.

N(E_F) ... 140.06 states/eV/f.u.
Formation enthalpy at 0 K ... -3658 kJ/mol of formula units
SG ... No. 174
M_tot ... 1.13 μB per formula unit

abc: 16.096 16.096 3.896
angles: 90.00 90.00 120.00
Atoms (fractional coordinates):
Ni  0.627  0.162  0.500
Ni  0.107  0.676  0.000
Ni  0.796  0.556  0.000
Ni  0.029  0.543  0.500
Ni  0.171  0.374  0.500
Ni  0.444  0.240  0.000
Ni  0.030  0.313  0.000
Ni  0.615  0.529  0.000
Ni  0.896  0.251  0.500
Ni  0.457  0.486  0.500
Ni  0.989  0.851  0.000
Ni  0.355  0.104  0.500
Ni  0.534  0.373  0.500
Ni  0.514  0.971  0.500
Ni  0.687  0.717  0.000
Ni  0.283  0.970  0.000
Ni  0.324  0.431  0.000
Ni  0.333  0.667  0.500
Ni  0.760  0.204  0.000
Ni  0.569  0.893  0.000
Ni  0.626  0.797  0.500
Ni  0.749  0.645  0.500
Ni  0.862  0.011  0.000
Ni  0.203  0.829  0.500
Ni  0.471  0.087  0.000
Ni  0.149  0.138  0.000
Ni  0.913  0.385  0.000
Ni  0.838  0.466  0.500
As  0.838  0.721  0.000
As  0.122  0.833  0.000
As  0.598  0.635  0.500
As  0.699  0.483  0.500
As  0.279  0.118  0.000
As  0.193  0.676  0.500
As  0.324  0.517  0.500
As  0.941  0.545  0.000
As  0.455  0.396  0.000
As  0.037  0.402  0.500
As  0.167  0.289  0.000
As  0.604  0.059  0.000
As  0.517  0.216  0.500
As  0.711  0.878  0.000
As  0.784  0.301  0.500
As  0.000  0.000  0.000
As  0.483  0.807  0.500
As  0.365  0.963  0.500
As  0.882  0.162  0.000
Yb  0.184  0.529  0.000
Yb  0.345  0.816  0.000
Yb  0.018  0.151  0.500
Yb  0.849  0.867  0.500
Yb  0.301  0.271  0.500
Yb  0.667  0.333  0.000
Yb  0.969  0.699  0.500
Yb  0.729  0.031  0.500
Yb  0.471  0.655  0.000
Yb  0.133  0.982  0.500

***

[13]
Be3Au2: relaxed, GGA-PBE.

N(E_F) ... 1.27 states/eV/f.u.
Energy above the lowest structure with this stoichiometry ... 0 meV/atom
Formation enthalpy at 0 K ... 3 kJ/mol of formula units
SG ... No. 63
M_tot ... 0.00 μB per formula unit

abc: 2.765 3.846 11.654
angles: 90.00 96.81 90.00
Atoms (fractional coordinates):
Be  0.975  0.750  0.951
Be  0.120  0.250  0.240
Be  0.826  0.250  0.651
Be  0.174  0.750  0.349
Be  0.880  0.750  0.760
Be  0.025  0.250  0.049
Au  0.707  0.250  0.413
Au  0.429  0.250  0.859
Au  0.571  0.750  0.141
Au  0.293  0.750  0.587

***

[14]
Nb3FeNi: relaxed, GGA-PBE.

N(E_F) ... 10.14 states/eV/f.u.
Energy above the lowest structure with this stoichiometry ... 366 meV/atom
Formation enthalpy at 0 K ... 588 kJ/mol of formula units
SG ... No. 221
M_tot ... 0.00 μB per formula unit

abc: 4.554 4.554 4.554
angles: 90.00 90.00 90.00
Atoms (fractional coordinates):
Nb  0.500  0.000  0.000
Nb  0.000  0.000  0.500
Nb  0.000  0.500  0.000
Ni  0.000  0.000  0.000
Fe  0.500  0.500  0.500

***

[15]
CeGe2PRh2: relaxed, GGA-PBE.

N(E_F) ... 6.91 states/eV/f.u.
Formation enthalpy at 0 K ... -329 kJ/mol of formula units
SG ... No. 123
M_tot ... 0.67 μB per formula unit

abc: 4.527 4.527 5.454
angles: 90.00 90.00 90.00
Atoms (fractional coordinates):
Rh  0.500  0.000  0.000
Rh  0.000  0.500  0.000
Ge  0.500  0.500  0.270
Ge  0.500  0.500  0.730
P  0.000  0.000  0.000
Ce  0.000  0.000  0.500

***

[16]
ReW3: relaxed, GGA-PBE.

N(E_F) ... 3.16 states/eV/f.u.
Energy above the lowest structure with this stoichiometry ... 274 meV/atom
Formation enthalpy at 0 K ... 113 kJ/mol of formula units
SG ... No. 123
M_tot ... 0.00 μB per formula unit

abc: 2.783 2.783 8.306
angles: 90.00 90.00 90.00
Atoms (fractional coordinates):
Re  0.000  0.000  0.000
W  0.500  0.500  0.763
W  0.000  0.000  0.500
W  0.500  0.500  0.237

***

[17]
HgRhAu: relaxed, GGA-PBE.

N(E_F) ... 2.50 states/eV/f.u.
Energy above the lowest structure with this stoichiometry ... 103 meV/atom
Formation enthalpy at 0 K ... 76 kJ/mol of formula units
SG ... No. 42
M_tot ... 0.00 μB per formula unit

abc: 7.605 7.342 2.907
angles: 83.92 73.74 22.34
Atoms (fractional coordinates):
Rh  0.333  0.333  0.667
Hg  0.672  0.672  0.328
Au  0.995  0.995  0.005

***

[18]
Pm3SmN3: relaxed, GGA-PBE.

N(E_F) ... 3.02 states/eV/f.u.
Energy above the lowest structure with this stoichiometry ... 0 meV/atom
Formation energy from raw total energies ... -1195 meV/atom
SG ... No. 221
M_tot ... 0.00 μB per formula unit

abc: 5.093 5.093 5.093
angles: 90.00 90.00 90.00
Atoms (fractional coordinates):
Pm  0.000  0.000  0.500
Pm  0.500  0.000  0.000
Pm  0.000  0.500  0.000
N  0.500  0.000  0.500
N  0.500  0.500  0.000
N  0.000  0.500  0.500
Sm  0.500  0.500  0.500

***

[19]
Rb2SbHCl6: relaxed, GGA-PBE.

N(E_F) ... 0.00 states/eV/f.u.
SG ... No. 139
Uncorrected energy ... -3.230 eV per atom
M_tot ... 0.00 μB per formula unit

abc: 8.236 8.236 7.388
angles: 56.13 56.13 90.00
Atoms (fractional coordinates):
Cl  0.777  0.223  0.000
Cl  0.325  0.325  0.350
Cl  0.223  0.223  0.000
Cl  0.777  0.777  0.000
Cl  0.223  0.777  0.000
Cl  0.675  0.675  0.650
H  0.500  0.500  0.000
Rb  0.250  0.750  0.500
Rb  0.750  0.250  0.500
Sb  0.000  0.000  0.000

***

[20]
Nd3Hg: relaxed, GGA-PBE.

N(E_F) ... 5.93 states/eV/f.u.
Energy above the lowest structure with this stoichiometry ... 169 meV/atom
Formation enthalpy at 0 K ... -23 kJ/mol of formula units
SG ... No. 225
M_tot ... 0.00 μB per formula unit

abc: 5.569 5.569 5.569
angles: 60.00 60.00 60.00
Atoms (fractional coordinates):
Nd  0.750  0.750  0.750
Nd  0.250  0.250  0.250
Nd  0.000  0.000  0.000
Hg  0.500  0.500  0.500